(1)
Sm12Os3Au5: optimized geometry, PBE-GGA.

## Properties
Calculated formation energy, eV per atom: -0.08

CIF file:
```
data_Sm12Os3Au5
_symmetry_space_group_name_H-M 'I a -3 d'
_symmetry_Int_Tables_number 230
_symmetry_space_group_name_Hall '-I 4bd 2c 3'
_cell_length_a 17.0742
_cell_length_b 17.0742
_cell_length_c 17.0742
_cell_angle_alpha 90.00
_cell_angle_beta 90.00
_cell_angle_gamma 90.00
loop_
_atom_site_label
_atom_site_type_symbol
_atom_site_fract_x
_atom_site_fract_y
_atom_site_fract_z
Sm1 Sm 0.0181 0.0792 0.6513
Os1 Os 0.0000 0.2500 0.1250
Au1 Au 0.0000 0.0000 0.0000
Au2 Au 0.0000 0.2500 0.3750
```


(2)
CrHRu: optimized geometry, PBE-GGA.

## Properties
Offset from the most stable computed form, eV per atom: 0.096

CIF file:
```
data_CrHRu
_symmetry_space_group_name_H-M 'P 1 m 1'
_symmetry_Int_Tables_number 6
_cell_length_a 4.2153
_cell_length_b 2.7848
_cell_length_c 4.8594
_cell_angle_alpha 90.00
_cell_angle_beta 90.15
_cell_angle_gamma 90.00
loop_
_symmetry_equiv_pos_as_xyz
'x,y,z'
'x,-y,z'
loop_
_atom_site_label
_atom_site_type_symbol
_atom_site_fract_x
_atom_site_fract_y
_atom_site_fract_z
Cr1 Cr 0.0000 0.0000 0.0000
Cr2 Cr 0.4928 0.5000 0.9106
H1 H 0.4015 0.5000 0.5720
H2 H 0.7958 0.5000 0.1853
Ru1 Ru 0.4897 0.0000 0.3506
Ru2 Ru 0.9828 0.5000 0.5573
```


(3)
Cr3Sn2Se8: optimized geometry, PBE-GGA.

## Properties
Formation energy without anion corrections, kJ per mole of atoms: -42

CIF file:
```
data_Cr3Sn2Se8
_symmetry_space_group_name_H-M 'C 1 2/m 1'
_symmetry_Int_Tables_number 12
_cell_length_a 13.6407
_cell_length_b 7.6024
_cell_length_c 6.4630
_cell_angle_alpha 90.00
_cell_angle_beta 108.74
_cell_angle_gamma 90.00
loop_
_symmetry_equiv_pos_as_xyz
'x,y,z'
'-x,-y,-z'
'-x,y,-z'
'x,-y,z'
'x+1/2,y+1/2,z'
'-x+1/2,-y+1/2,-z'
'-x+1/2,y+1/2,-z'
'x+1/2,-y+1/2,z'
loop_
_atom_site_label
_atom_site_type_symbol
_atom_site_fract_x
_atom_site_fract_y
_atom_site_fract_z
Cr1 Cr 0.0000 0.0000 0.0000
Cr2 Cr 0.0000 0.2524 0.5000
Sn1 Sn 0.2447 0.0000 0.4815
Se1 Se 0.1027 0.0000 0.7318
Se2 Se 0.1069 0.2425 0.2452
Se3 Se 0.1110 0.5000 0.7208
```


(4)
InMoP2: optimized geometry, PBE-GGA.

## Properties
Calculated formation energy, eV per atom: -0.04

CIF file:
```
data_InMoP2
_symmetry_space_group_name_H-M 'I m m 2'
_symmetry_Int_Tables_number 44
_cell_length_a 3.1598
_cell_length_b 3.4775
_cell_length_c 13.2104
_cell_angle_alpha 90.00
_cell_angle_beta 90.00
_cell_angle_gamma 90.00
loop_
_symmetry_equiv_pos_as_xyz
'x,y,z'
'-x,-y,z'
'-x,y,z'
'x,-y,z'
'x+1/2,y+1/2,z+1/2'
'-x+1/2,-y+1/2,z+1/2'
'-x+1/2,y+1/2,z+1/2'
'x+1/2,-y+1/2,z+1/2'
loop_
_atom_site_label
_atom_site_type_symbol
_atom_site_fract_x
_atom_site_fract_y
_atom_site_fract_z
In1 In 0.0000 0.0000 0.0000
Mo1 Mo 0.0000 0.5000 0.7417
P1 P 0.0000 0.0000 0.3797
P2 P 0.0000 0.5000 0.1711
```


| no. | energy (eV/f.u.) |
| --- | --- |
| 1 | -108.30 |
| 2 | -21.84 |
| 3 | -70.44 |
| 4 | -24.56 |